Tm2PuCoO8: relaxed, GGA+U.

Properties
Theoretical density (g cm⁻³): 7.9
VASP energy (eV per atom): -8.19
Spin magnetization (μB per formula unit): 4.999

```
data_Tm2PuCoO8
_chemical_formula_sum 'Tm4 Pu2 Co2 O16'
_cell_length_a 6.712
_cell_length_b 7.128
_cell_length_c 6.744
_cell_angle_alpha 90.00
_cell_angle_beta 90.00
_cell_angle_gamma 90.00
_symmetry_space_group_name_H-M 'C m m m'
_symmetry_Int_Tables_number 65
_symmetry_space_group_name_Hall '-C 2 2'
loop_
_atom_site_label
_atom_site_type_symbol
_atom_site_fract_x
_atom_site_fract_y
_atom_site_fract_z
_atom_site_occupancy
Tm1 Tm 0.000 0.000 0.240 1
Pu1 Pu 0.000 0.500 0.500 1
Co1 Co 0.000 0.500 0.000 1
O1 O 0.000 0.315 0.272 1
O2 O 0.202 0.000 0.500 1
O3 O 0.225 0.000 0.000 1
```